Computed, not measured: a relaxed InRh2 crystal at the GGA-PBE level of DFT.

```
data_InRh2
_chemical_formula_sum 'In2 Rh4'
_cell_length_a 2.9434
_cell_length_b 2.9434
_cell_length_c 11.1534
_cell_angle_alpha 90.00
_cell_angle_beta 90.00
_cell_angle_gamma 90.00
_symmetry_space_group_name_H-M 'I 4/m m m'
_symmetry_Int_Tables_number 139
_symmetry_space_group_name_Hall '-I 4 2'
loop_
_atom_site_label
_atom_site_fract_x
_atom_site_fract_y
_atom_site_fract_z
In1 0.0000 0.0000 0.0000
Rh1 0.0000 0.0000 0.3285
```

The value obtained for the calculated volume is 97 Å³/cell. The value obtained for the energy relative to the elements is -0.1282 eV per atom.



Computed, not measured: a relaxed In3Rh crystal at the GGA-PBE level of DFT.

```
data_In3Rh
_chemical_formula_sum 'In6 Rh2'
_cell_length_a 6.0892
_cell_length_b 6.0892
_cell_length_c 5.0761
_cell_angle_alpha 90.00
_cell_angle_beta 90.00
_cell_angle_gamma 120.00
_symmetry_space_group_name_H-M 'P 63/m m c'
_symmetry_Int_Tables_number 194
_symmetry_space_group_name_Hall '-P 6c 2c'
loop_
_atom_site_label
_atom_site_fract_x
_atom_site_fract_y
_atom_site_fract_z
In1 0.1723 0.3445 0.2500
Rh1 0.3333 0.6667 0.7500
```

The value obtained for the calculated volume is 163 Å³/cell. The value obtained for the energy relative to the elements is 0.0035 eV per atom.



Computed, not measured: a relaxed In5Rh crystal at the GGA-PBE level of DFT.

```
data_In5Rh
_chemical_formula_sum 'In20 Rh4'
_cell_length_a 8.3852
_cell_length_b 8.3852
_cell_length_c 8.3852
_cell_angle_alpha 90.00
_cell_angle_beta 90.00
_cell_angle_gamma 90.00
_symmetry_space_group_name_H-M 'F -4 3 m'
_symmetry_Int_Tables_number 216
_symmetry_space_group_name_Hall 'F -4 2 3'
loop_
_atom_site_label
_atom_site_fract_x
_atom_site_fract_y
_atom_site_fract_z
In1 0.0000 0.0000 0.0000
In2 0.1244 0.1244 0.6244
Rh1 0.2500 0.2500 0.2500
```

The value obtained for the calculated volume is 590 Å³/cell. The value obtained for the energy relative to the elements is 0.3821 eV per atom.